This record from Alexandria describes a geometry-optimized Tl2MoOs2 structure. The functional is PBEsol.

Lattice parameters (Å, degrees): 3.501 3.501 8.522 101.86 101.86 90.00
Element x y z (fractional)
Tl 0.396 0.396 0.792
Tl 0.604 0.604 0.208
Os 0.250 0.750 0.500
Os 0.750 0.250 0.500
Mo 0.000 0.000 0.000

Results
The density is 14.7 Mg/m³. Its formation enthalpy at 0 K is 1.3487 eV/atom. Its space group is I4/mmm (139). The magnetic moment comes out at 3.01 μB per formula unit.

---

This record from Alexandria describes a geometry-optimized TlMoOs2 structure. The functional is PBEsol.

Lattice parameters (Å, degrees): 2.863 4.850 4.959 100.25 90.00 107.17
Element x y z (fractional)
Mo 0.000 0.000 0.500
Os 0.736 0.471 0.713
Os 0.264 0.529 0.287
Tl 0.500 0.000 0.000

Results
The density is 17.5 Mg/m³. Its formation enthalpy at 0 K is 0.6215 eV/atom. The calculation puts the energy above the lowest structure with this stoichiometry at 15.2 meV/atom. Its space group is C2/m (12). The magnetic moment comes out at 0.00 μB per formula unit.

---

This record from Alexandria describes a geometry-optimized TlMoOs3 structure. The functional is PBEsol.

Lattice parameters (Å, degrees): 4.758 4.758 4.758 90.00 90.00 90.00
Element x y z (fractional)
Tl 0.000 0.000 0.000
Os 0.000 0.500 0.000
Os 0.000 0.000 0.500
Os 0.500 0.000 0.000
Mo 0.500 0.500 0.500

Results
The density is 13.4 Mg/m³. Its formation enthalpy at 0 K is 3.5755 eV/atom. Its space group is Pm-3m (221). The magnetic moment comes out at 0.69 μB per formula unit.

---

This record from Alexandria describes a geometry-optimized TlMoOs2 structure. The functional is PBEsol.

Lattice parameters (Å, degrees): 2.845 3.832 5.914 90.00 90.00 90.00
Element x y z (fractional)
Mo 0.500 0.500 0.500
Os 0.000 0.000 0.720
Os 0.000 0.000 0.280
Tl 0.500 0.500 0.000

Results
The density is 17.5 Mg/m³. Its formation enthalpy at 0 K is 0.6063 eV/atom. The calculation puts the energy above the lowest structure with this stoichiometry at 0.0 meV/atom. Its space group is Pmmm (47). The magnetic moment comes out at 0.00 μB per formula unit.

---

This record from Alexandria describes a geometry-optimized TlMoOs2 structure. The functional is PBEsol.

Lattice parameters (Å, degrees): 4.486 4.486 4.486 60.00 60.00 60.00
Element x y z (fractional)
Mo 0.500 0.500 0.500
Os 0.000 0.000 0.000
Os 0.750 0.750 0.750
Tl 0.250 0.250 0.250

Results
The density is 17.7 Mg/m³. Its formation enthalpy at 0 K is 0.9295 eV/atom. The calculation puts the energy above the lowest structure with this stoichiometry at 323.2 meV/atom. Its space group is F-43m (216). The magnetic moment comes out at 0.00 μB per formula unit.

---

This record from Alexandria describes a geometry-optimized Mo2OsW structure. The functional is PBEsol.

Lattice parameters (Å, degrees): 3.117 4.397 5.166 115.19 107.56 90.00
Element x y z (fractional)
Mo 0.740 0.740 0.481
Mo 0.260 0.260 0.519
Os 0.500 0.000 0.000
W 0.000 0.500 0.000

Results
The density is 15.6 Mg/m³. Its formation enthalpy at 0 K is 0.1305 eV/atom. The calculation puts the energy above the lowest structure with this stoichiometry at 0.0 meV/atom. Its space group is Immm (71). The magnetic moment comes out at 0.00 μB per formula unit.

---

This record from Alexandria describes a geometry-optimized MoOsW structure. The functional is PBEsol.

Lattice parameters (Å, degrees): 2.776 3.872 4.834 113.61 106.69 90.00
Element x y z (fractional)
Mo 0.004 0.004 0.009
Os 0.666 0.666 0.333
W 0.329 0.329 0.659

Results
The density is 17.3 Mg/m³. Its formation enthalpy at 0 K is 0.2035 eV/atom. Its space group is Imm2 (44). The magnetic moment comes out at 0.00 μB per formula unit.

---

This record from Alexandria describes a geometry-optimized Mo2OsW structure. The functional is PBEsol.

Lattice parameters (Å, degrees): 3.117 3.117 6.228 90.00 90.00 90.00
Element x y z (fractional)
Mo 0.000 0.000 0.004
Mo 0.500 0.500 0.238
Os 0.000 0.000 0.506
W 0.500 0.500 0.753

Results
The density is 15.5 Mg/m³. Its formation enthalpy at 0 K is 0.1645 eV/atom. The calculation puts the energy above the lowest structure with this stoichiometry at 34.0 meV/atom. Its space group is P4mm (99). The magnetic moment comes out at 0.00 μB per formula unit.

---

> What is the formation enthalpy at 0 K in the third record?

3.5755 eV/atom

---

> Which value of magnetic moment does entry 4 give?

0.00 μB per formula unit

---

> Which of these has the highest formation enthalpy at 0 K?

TlMoOs3